[1]
AlS6I | PBE | relaxed

Computed properties:
- D(E_F) (states/eV/atom) = 0.45
- M_tot (μB per atom) = 0.000

Geometry as CIF:
```
data_AlS6I
_symmetry_space_group_name_H-M 'P -1'
_symmetry_Int_Tables_number 2
_cell_length_a 3.8020
_cell_length_b 6.5692
_cell_length_c 8.1661
_cell_angle_alpha 79.28
_cell_angle_beta 79.73
_cell_angle_gamma 76.98
loop_
_symmetry_equiv_pos_as_xyz
'x,y,z'
'-x,-y,-z'
loop_
_atom_site_label
_atom_site_type_symbol
_atom_site_fract_x
_atom_site_fract_y
_atom_site_fract_z
Al1 Al 0.0000 0.0000 0.0000
S1 S 0.1529 0.5677 0.0504
S2 S 0.3494 0.4732 0.4282
S3 S 0.4614 0.9584 0.1877
I1 I 0.5000 0.0000 0.5000
```

[2]
AlS8I2 | PBE | relaxed

Computed properties:
- D(E_F) (states/eV/atom) = 0.30
- M_tot (μB per atom) = 0.082

Geometry as CIF:
```
data_AlS8I2
_symmetry_space_group_name_H-M 'C 1 2/m 1'
_symmetry_Int_Tables_number 12
_cell_length_a 11.1526
_cell_length_b 8.1429
_cell_length_c 12.1554
_cell_angle_alpha 90.00
_cell_angle_beta 106.33
_cell_angle_gamma 90.00
loop_
_symmetry_equiv_pos_as_xyz
'x,y,z'
'-x,-y,-z'
'-x,y,-z'
'x,-y,z'
'x+1/2,y+1/2,z'
'-x+1/2,-y+1/2,-z'
'-x+1/2,y+1/2,-z'
'x+1/2,-y+1/2,z'
loop_
_atom_site_label
_atom_site_type_symbol
_atom_site_fract_x
_atom_site_fract_y
_atom_site_fract_z
Al1 Al 0.0000 0.0000 0.0000
S1 S 0.0660 0.0000 0.2077
S2 S 0.0794 0.2552 0.9742
S3 S 0.2317 0.0000 0.1818
I1 I 0.0900 0.5000 0.6298
```

[3]
AlS3I | PBE | relaxed

Computed properties:
- D(E_F) (states/eV/atom) = 0.00
- M_tot (μB per atom) = 0.000
- energy above the most stable polymorph in this dataset (kJ/mol of formula units) = 0

Geometry as CIF:
```
data_AlS3I
_symmetry_space_group_name_H-M 'P 1'
_symmetry_Int_Tables_number 1
_cell_length_a 3.8757
_cell_length_b 5.7452
_cell_length_c 7.9438
_cell_angle_alpha 76.93
_cell_angle_beta 85.54
_cell_angle_gamma 75.53
loop_
_symmetry_equiv_pos_as_xyz
'x,y,z'
loop_
_atom_site_label
_atom_site_type_symbol
_atom_site_fract_x
_atom_site_fract_y
_atom_site_fract_z
Al1 Al 0.0000 0.0000 0.0000
S1 S 0.5864 0.7463 0.9986
S2 S 0.6700 0.2902 0.7953
S3 S 0.7730 0.6306 0.7655
I1 I 0.0748 0.0755 0.2919
```

What calculated density values result from the calculations? In sequence: 2.98 1.68 2.49 g cm⁻³.
What raw formation energy values result from the calculations? In sequence: 0.01 0.04 -0.37 eV/atom.